Computed, not measured: a relaxed structure of Na2Pr2PaTe6 at the PBE level of DFT.

The structure in POSCAR format:
```
Na2Pr2PaTe6
1.0
7.8098 0.0055 0.0770
-3.8553 6.7919 0.0770
-1.4107 -2.4248 7.5410
Na Pr Pa Te
2 2 1 6
direct
0.8290 0.1710 0.0000
0.1710 0.8290 0.0000
0.3333 0.6667 0.5000
0.6667 0.3333 0.5000
0.0000 0.0000 0.5000
0.7592 0.7592 0.7357
0.0818 0.4026 0.7374
0.2408 0.2408 0.2643
0.4026 0.0818 0.7374
0.9182 0.5974 0.2626
0.5974 0.9182 0.2626
```

- Spin magnetization: 1.04 μB/cell
- VASP energy: -4.861 eV per atom
- Energy relative to the elements, uncorrected: -1.1753 eV/atom
- ρ: 5.5 g cm⁻³